Compound: LiCoBO3
Source: Alexandria
Functional: PBEsol
Structure: relaxed

Properties
Energy relative to the lowest polymorph listed for this composition ... 3 meV/atom
Formation energy (no corrections) ... -10.46 eV/f.u.

```
data_LiCoBO3
_chemical_formula_sum 'Li2 Co2 B2 O6'
_symmetry_space_group_name_H-M 'P -1'
_symmetry_Int_Tables_number 2
_symmetry_space_group_name_Hall '-P 1'
_cell_length_a 4.9052
_cell_length_b 4.9301
_cell_length_c 6.1547
_cell_angle_alpha 69.48
_cell_angle_beta 72.59
_cell_angle_gamma 61.92
loop_
_atom_site_label
_atom_site_fract_x
_atom_site_fract_y
_atom_site_fract_z
_atom_site_occupancy
Li1 0.1514 0.2479 0.1517 1
Co1 0.2286 0.1638 0.6544 1
B1 0.4465 0.5622 0.2513 1
O1 0.1754 0.8316 0.2483 1
O2 0.2665 0.4205 0.8122 1
O3 0.4296 0.2669 0.3195 1
```

Compound: InRh3N
Source: Alexandria
Functional: PBEsol
Structure: relaxed

Properties
Formation energy (no corrections) ... -0.51 eV/f.u.

```
data_InRh3N
_chemical_formula_sum 'In1 Rh3 N1'
_symmetry_space_group_name_H-M 'P m -3 m'
_symmetry_Int_Tables_number 221
_symmetry_space_group_name_Hall '-P 4 2 3'
_cell_length_a 4.0640
_cell_length_b 4.0640
_cell_length_c 4.0640
_cell_angle_alpha 90.00
_cell_angle_beta 90.00
_cell_angle_gamma 90.00
loop_
_atom_site_label
_atom_site_fract_x
_atom_site_fract_y
_atom_site_fract_z
_atom_site_occupancy
In1 0.0000 0.0000 0.0000 1
Rh1 0.0000 0.5000 0.5000 1
N1 0.5000 0.5000 0.5000 1
```

Compound: HoSnPd
Source: Alexandria
Functional: PBEsol
Structure: relaxed

Properties
Energy of formation from the pure elements ... -953.8 meV per atom

```
data_HoSnPd
_chemical_formula_sum 'Ho4 Sn4 Pd4'
_symmetry_space_group_name_H-M 'P n m a'
_symmetry_Int_Tables_number 62
_symmetry_space_group_name_Hall '-P 2ac 2n'
_cell_length_a 7.0599
_cell_length_b 4.5695
_cell_length_c 7.8345
_cell_angle_alpha 90.00
_cell_angle_beta 90.00
_cell_angle_gamma 90.00
loop_
_atom_site_label
_atom_site_fract_x
_atom_site_fract_y
_atom_site_fract_z
_atom_site_occupancy
Ho1 0.0092 0.2500 0.2049 1
Sn1 0.1930 0.2500 0.5873 1
Pd1 0.2075 0.7500 0.4164 1
```

Compound: MnRuN2O
Source: Alexandria
Functional: PBEsol
Structure: relaxed

Properties
Formation energy (no corrections) ... 3.09 eV/f.u.

```
data_MnRuN2O
_chemical_formula_sum 'Mn1 Ru1 N2 O1'
_symmetry_space_group_name_H-M 'P 4/m m m'
_symmetry_Int_Tables_number 123
_symmetry_space_group_name_Hall '-P 4 2'
_cell_length_a 3.6372
_cell_length_b 3.6372
_cell_length_c 3.5508
_cell_angle_alpha 90.00
_cell_angle_beta 90.00
_cell_angle_gamma 90.00
loop_
_atom_site_label
_atom_site_fract_x
_atom_site_fract_y
_atom_site_fract_z
_atom_site_occupancy
Mn1 0.0000 0.0000 0.0000 1
Ru1 0.5000 0.5000 0.5000 1
N1 0.0000 0.5000 0.0000 1
O1 0.0000 0.0000 0.5000 1
```

Compound: KHgPb2
Source: Alexandria
Functional: PBEsol
Structure: relaxed

Properties
Energy of formation from the pure elements ... -115.3 meV per atom

```
data_KHgPb2
_chemical_formula_sum 'K1 Hg1 Pb2'
_symmetry_space_group_name_H-M 'P 4 m m'
_symmetry_Int_Tables_number 99
_symmetry_space_group_name_Hall 'P 4 -2'
_cell_length_a 3.8380
_cell_length_b 3.8380
_cell_length_c 8.3230
_cell_angle_alpha 90.00
_cell_angle_beta 90.00
_cell_angle_gamma 90.00
loop_
_atom_site_label
_atom_site_fract_x
_atom_site_fract_y
_atom_site_fract_z
_atom_site_occupancy
K1 0.0000 0.0000 0.0000 1
Hg1 0.5000 0.5000 0.7456 1
Pb1 0.0000 0.0000 0.5265 1
Pb2 0.5000 0.5000 0.3070 1
```

Compound: CrNO2
Source: Alexandria
Functional: PBEsol
Structure: relaxed

Properties
Formation energy (no corrections) ... 3.80 eV/f.u.

```
data_CrNO2
_chemical_formula_sum 'Cr3 N3 O6'
_symmetry_space_group_name_H-M 'R -3 m'
_symmetry_Int_Tables_number 166
_symmetry_space_group_name_Hall '-R 3 2"'
_cell_length_a 2.6594
_cell_length_b 2.6594
_cell_length_c 17.3056
_cell_angle_alpha 90.00
_cell_angle_beta 90.00
_cell_angle_gamma 120.00
loop_
_atom_site_label
_atom_site_fract_x
_atom_site_fract_y
_atom_site_fract_z
_atom_site_occupancy
Cr1 0.0000 0.0000 0.0000 1
N1 0.0000 0.0000 0.5000 1
O1 0.0000 0.0000 0.1016 1
```

Compound: Na2SrSn2
Source: Alexandria
Functional: PBEsol
Structure: relaxed

Properties
Energy of formation from the pure elements ... -348.1 meV per atom

```
data_Na2SrSn2
_chemical_formula_sum 'Na4 Sr2 Sn4'
_symmetry_space_group_name_H-M 'I 4/m m m'
_symmetry_Int_Tables_number 139
_symmetry_space_group_name_Hall '-I 4 2'
_cell_length_a 4.6789
_cell_length_b 4.6789
_cell_length_c 14.0604
_cell_angle_alpha 90.00
_cell_angle_beta 90.00
_cell_angle_gamma 90.00
loop_
_atom_site_label
_atom_site_fract_x
_atom_site_fract_y
_atom_site_fract_z
_atom_site_occupancy
Na1 0.0000 0.5000 0.2500 1
Sr1 0.0000 0.0000 0.0000 1
Sn1 0.0000 0.0000 0.4030 1
```

Compound: HfRhSCl2
Source: Alexandria
Functional: PBEsol
Structure: relaxed

Properties
Formation energy (no corrections) ... -0.78 eV/f.u.

```
data_HfRhSCl2
_chemical_formula_sum 'Hf1 Rh1 S1 Cl2'
_symmetry_space_group_name_H-M 'P 4/m m m'
_symmetry_Int_Tables_number 123
_symmetry_space_group_name_Hall '-P 4 2'
_cell_length_a 4.8081
_cell_length_b 4.8081
_cell_length_c 4.8862
_cell_angle_alpha 90.00
_cell_angle_beta 90.00
_cell_angle_gamma 90.00
loop_
_atom_site_label
_atom_site_fract_x
_atom_site_fract_y
_atom_site_fract_z
_atom_site_occupancy
Hf1 0.0000 0.0000 0.0000 1
Rh1 0.5000 0.5000 0.5000 1
S1 0.0000 0.0000 0.5000 1
Cl1 0.0000 0.5000 0.0000 1
```

Compound: SrIrPt2
Source: Alexandria
Functional: PBEsol
Structure: relaxed

Properties
Energy relative to the lowest polymorph listed for this composition ... 147 meV/atom
Energy of formation from the pure elements ... 182.4 meV per atom

```
data_SrIrPt2
_chemical_formula_sum 'Sr2 Ir2 Pt4'
_symmetry_space_group_name_H-M 'I -4 m 2'
_symmetry_Int_Tables_number 119
_symmetry_space_group_name_Hall 'I -4 -2'
_cell_length_a 4.1259
_cell_length_b 4.1259
_cell_length_c 8.2750
_cell_angle_alpha 90.00
_cell_angle_beta 90.00
_cell_angle_gamma 90.00
loop_
_atom_site_label
_atom_site_fract_x
_atom_site_fract_y
_atom_site_fract_z
_atom_site_occupancy
Sr1 0.0000 0.0000 0.0000 1
Ir1 0.0000 0.5000 0.2500 1
Pt1 0.0000 0.0000 0.5000 1
Pt2 0.0000 0.5000 0.7500 1
```

Compound: CrTc3
Source: Alexandria
Functional: PBEsol
Structure: relaxed

Properties
Energy of formation from the pure elements ... 95.1 meV per atom

```
data_CrTc3
_chemical_formula_sum 'Cr2 Tc6'
_symmetry_space_group_name_H-M 'I m m 2'
_symmetry_Int_Tables_number 44
_symmetry_space_group_name_Hall 'I 2 -2'
_cell_length_a 2.8640
_cell_length_b 8.4939
_cell_length_c 4.4005
_cell_angle_alpha 90.00
_cell_angle_beta 90.00
_cell_angle_gamma 90.00
loop_
_atom_site_label
_atom_site_fract_x
_atom_site_fract_y
_atom_site_fract_z
_atom_site_occupancy
Cr1 0.0000 0.0000 0.0000 1
Tc1 0.0000 0.2710 0.4084 1
Tc2 0.0000 0.5000 0.9854 1
```

Compound: ZnCo2Mo
Source: Alexandria
Functional: PBEsol
Structure: relaxed

Properties
Energy of formation from the pure elements ... 62.6 meV per atom

```
data_ZnCo2Mo
_chemical_formula_sum 'Zn2 Co4 Mo2'
_symmetry_space_group_name_H-M 'C 1 m 1'
_symmetry_Int_Tables_number 8
_symmetry_space_group_name_Hall 'C -2y'
_cell_length_a 8.7351
_cell_length_b 2.5827
_cell_length_c 4.3688
_cell_angle_alpha 90.00
_cell_angle_beta 103.08
_cell_angle_gamma 90.00
loop_
_atom_site_label
_atom_site_fract_x
_atom_site_fract_y
_atom_site_fract_z
_atom_site_occupancy
Zn1 0.0000 0.0000 0.0000 1
Co1 0.0257 0.5000 0.5188 1
Co2 0.2488 0.0000 0.8200 1
Mo1 0.2727 0.5000 0.3328 1
```

no.,magnetic moment (μB per cell)
1,6.0
2,0.0
3,0.0
4,0.7
5,0.0
6,2.4
7,0.0
8,1.4
9,0.0
10,0.0
11,0.0